# 1
A relaxed Ba2SiNiHg crystal, computed with GGA-PBE.

Calculated values
Raw formation energy = -1.6 eV/f.u.
Space group = No. 123
D(E_F) = 3.2 states/eV per cell

POSCAR file:
```
Ba2SiNiHg
1.0
6.060 0.000 0.000
0.000 6.060 0.000
0.000 0.000 4.398
Ba Si Ni Hg
2 1 1 1
Direct
0.000 0.500 0.000
0.500 0.000 0.000
0.000 0.000 0.500
0.000 0.000 0.000
0.500 0.500 0.500
```

---

# 2
A relaxed Ba2NiSnHg crystal, computed with GGA-PBE.

Calculated values
Energy relative to the elements = -1.82 eV per formula unit
Space group = No. 123
D(E_F) = 3.0 states/eV per cell

POSCAR file:
```
Ba2NiSnHg
1.0
6.077 0.000 0.000
0.000 6.077 0.000
0.000 0.000 4.842
Ba Ni Sn Hg
2 1 1 1
Direct
0.000 0.500 0.000
0.500 0.000 0.000
0.000 0.000 0.000
0.000 0.000 0.500
0.500 0.500 0.500
```